Entry 1:
Below is a relaxed structure of Tb2Al2S7, with properties calculated at the PBE-GGA level.

Cell: 6.5791 7.0790 7.0790 Å, 111.86 101.90 101.90°
Sites, in units of the cell vectors:
1 S 0.2328 0.3267 0.3267
2 S 0.0000 0.0000 0.0000
3 S 0.7672 0.6733 0.6733
4 S 0.7179 0.4293 0.1022
5 S 0.7179 0.1022 0.4293
6 S 0.2821 0.5707 0.8978
7 S 0.2821 0.8978 0.5707
8 Al 0.1374 0.7687 0.7687
9 Al 0.8626 0.2313 0.2313
10 Tb 0.5000 0.6883 0.3117
11 Tb 0.5000 0.3117 0.6883

## Properties
- raw total energy (eV/f.u.) = -59.59
- DOS at the Fermi energy (states/eV/f.u.) = 0.0
- uncorrected formation energy (eV/f.u.) = -13.95



Entry 2:
Below is a relaxed structure of AsI, with properties calculated at the PBE-GGA level.

Cell: 9.1660 9.1660 9.1660 Å, 90.00 90.00 90.00°
Sites, in units of the cell vectors:
1 As 0.3995 0.6005 0.3995
2 As 0.3995 0.3995 0.6005
3 As 0.6005 0.3995 0.3995
4 As 0.1005 0.8995 0.8995
5 As 0.6005 0.6005 0.6005
6 As 0.8995 0.1005 0.8995
7 As 0.8995 0.8995 0.1005
8 As 0.1005 0.1005 0.1005
9 I 0.2743 0.2743 0.2743
10 I 0.2257 0.2257 0.7743
11 I 0.2257 0.7743 0.2257
12 I 0.7743 0.7743 0.7743
13 I 0.2743 0.7257 0.7257
14 I 0.7257 0.2743 0.7257
15 I 0.7257 0.7257 0.2743
16 I 0.7743 0.2257 0.2257

## Properties
- raw total energy (eV/f.u.) = -5.71
- DOS at the Fermi energy (states/eV/f.u.) = 1.6
- uncorrected formation energy (eV/f.u.) = 0.49